[1]
Density functional theory data (GGA-PBE) for a relaxed Nd8P3Br4N crystal.

abc: 8.154 8.706 8.154
angles: 117.93 120.00 90.00
Sites, in units of the cell vectors:
Nd (0.215, 0.691, 0.976)
Nd (0.215, 0.691, 0.431)
Nd (0.267, 0.300, 0.533)
Nd (0.761, 0.691, 0.976)
Nd (0.239, 0.309, 0.024)
Nd (0.733, 0.700, 0.467)
Nd (0.785, 0.309, 0.569)
Nd (0.785, 0.309, 0.024)
P (0.500, 0.500, 0.000)
P (0.500, 0.500, 0.500)
P (0.000, 0.500, 0.500)
Br (0.500, 0.000, 0.000)
Br (0.500, 0.000, 0.500)
Br (0.000, 0.000, 0.000)
Br (0.000, 0.000, 0.500)
N (0.000, 0.500, 0.000)

## Properties
**Formation energy (no corrections)**: -1.455 eV per atom
**Calculated volume**: 26.35 A^3/atom
**Space-group type**: R-3m, No. 166

---

[2]
Density functional theory data (GGA-PBE) for a relaxed Ce2NbP3Ir4 crystal.

abc: 4.069 4.069 10.482
angles: 90.00 90.00 90.00
Each line ends with the local moment (μB).
Sites, in units of the cell vectors:
Ce (0.500, 0.000, 0.236)  0.28
Ce (0.000, 0.500, 0.764)  0.28
Nb (0.500, 0.500, 0.500)  -0.01
P (0.000, 0.000, 0.500)  0.00
P (0.500, 0.000, 0.867)  0.00
P (0.000, 0.500, 0.133)  0.00
Ir (0.500, 0.500, 0.000)  0.00
Ir (0.000, 0.000, 0.000)  0.00
Ir (0.500, 0.000, 0.643)  -0.01
Ir (0.000, 0.500, 0.357)  -0.01

## Properties
**Energy of formation**: -87.7 kJ per mole of atoms
**Calculated volume**: 17.36 A^3/atom
**Space-group type**: P-4m2, No. 115

---

[3]
Density functional theory data (GGA-PBE) for a relaxed Ac3Pr3Y2 crystal.

abc: 6.219 6.211 7.917
angles: 90.00 90.00 90.00
Sites, in units of the cell vectors:
Ac (0.000, 0.500, 0.500)
Ac (0.500, 0.000, 0.000)
Ac (0.500, 0.000, 0.500)
Pr (0.500, 0.500, 0.242)
Pr (0.500, 0.500, 0.758)
Pr (0.000, 0.500, 0.000)
Y (0.000, 0.000, 0.243)
Y (0.000, 0.000, 0.757)

## Properties
**Energy of formation**: 9.9 kJ per mole of atoms
**Calculated volume**: 38.23 A^3/atom
**Space-group type**: Pmmm, No. 47

---

[4]
Density functional theory data (GGA-PBE) for a relaxed ZrVIn2 crystal.

abc: 4.438 4.238 4.238
angles: 90.00 90.00 90.00
Each line ends with the local moment (μB).
Sites, in units of the cell vectors:
V (0.500, 0.500, 0.500)  0.73
Zr (0.500, 0.000, 0.000)  -0.11
In (0.000, 0.000, 0.500)  -0.02
In (0.000, 0.500, 0.000)  -0.02

## Properties
**Energy of formation**: -1.5 kJ per mole of atoms
**Calculated volume**: 19.92 A^3/atom
**Space-group type**: P4/mmm, No. 123
**ΔE to the lowest computed polymorph**: 0.0 meV per atom

---

[5]
Density functional theory data (GGA-PBE) for a relaxed Sr3Ga3Cu2 crystal.

abc: 6.049 8.349 15.838
angles: 90.00 90.00 90.00
Sites, in units of the cell vectors:
Sr (0.126, 0.457, 0.394)
Sr (0.626, 0.043, 0.606)
Sr (0.874, 0.543, 0.894)
Sr (0.374, 0.957, 0.106)
Sr (0.874, 0.543, 0.606)
Sr (0.374, 0.957, 0.394)
Sr (0.126, 0.457, 0.106)
Sr (0.626, 0.043, 0.894)
Sr (0.615, 0.311, 0.250)
Sr (0.115, 0.189, 0.750)
Sr (0.385, 0.689, 0.750)
Sr (0.885, 0.811, 0.250)
Ga (0.093, 0.159, 0.250)
Ga (0.593, 0.341, 0.750)
Ga (0.907, 0.841, 0.750)
Ga (0.407, 0.659, 0.250)
Ga (0.619, 0.324, 0.459)
Ga (0.119, 0.176, 0.541)
Ga (0.381, 0.676, 0.959)
Ga (0.881, 0.824, 0.041)
Ga (0.381, 0.676, 0.541)
Ga (0.881, 0.824, 0.459)
Ga (0.619, 0.324, 0.041)
Ga (0.119, 0.176, 0.959)
Cu (0.886, 0.111, 0.402)
Cu (0.386, 0.389, 0.598)
Cu (0.114, 0.889, 0.902)
Cu (0.614, 0.611, 0.098)
Cu (0.114, 0.889, 0.598)
Cu (0.614, 0.611, 0.402)
Cu (0.886, 0.111, 0.098)
Cu (0.386, 0.389, 0.902)

## Properties
**Energy of formation**: -27.2 kJ per mole of atoms
**Calculated volume**: 24.99 A^3/atom
**Space-group type**: Pnma, No. 62
**ΔE to the lowest computed polymorph**: 20.7 meV per atom

---

[6]
Density functional theory data (GGA-PBE) for a relaxed ThZrPa crystal.

abc: 5.266 5.266 3.354
angles: 90.00 90.00 120.00
Sites, in units of the cell vectors:
Pa (0.667, 0.333, 0.249)
Zr (0.000, 0.000, 0.091)
Th (0.333, 0.667, 0.660)

## Properties
**Energy of formation**: 20.1 kJ per mole of atoms
**Calculated volume**: 26.85 A^3/atom
**Space-group type**: P3m1, No. 156
**ΔE to the lowest computed polymorph**: 128.6 meV per atom

---

[7]
Density functional theory data (GGA-PBE) for a relaxed Zr2TiN3 crystal.

abc: 4.512 6.392 5.524
angles: 106.84 114.11 90.00
Sites, in units of the cell vectors:
Zr (0.665, 0.583, 0.331)
Zr (0.665, 0.083, 0.331)
Zr (0.335, 0.917, 0.669)
Zr (0.335, 0.417, 0.669)
Ti (0.000, 0.750, 0.000)
Ti (0.000, 0.250, 0.000)
N (0.500, 0.250, 0.000)
N (0.500, 0.750, 0.000)
N (0.159, 0.080, 0.319)
N (0.841, 0.420, 0.681)
N (0.159, 0.580, 0.319)
N (0.841, 0.920, 0.681)

## Properties
**Formation energy (no corrections)**: -1.642 eV per atom
**Calculated volume**: 11.49 A^3/atom
**Space-group type**: Immm, No. 71

---

[8]
Density functional theory data (GGA-PBE) for a relaxed BC2 crystal.

abc: 2.560 2.560 13.385
angles: 90.00 90.00 120.00
Sites, in units of the cell vectors:
B (0.000, 0.000, 0.892)
B (0.333, 0.667, 0.647)
B (0.667, 0.333, 0.725)
B (0.000, 0.000, 0.369)
C (0.667, 0.333, 0.840)
C (0.667, 0.333, 0.320)
C (0.000, 0.000, 0.491)
C (0.333, 0.667, 0.528)
C (0.333, 0.667, 0.168)
C (0.667, 0.333, 0.206)
C (0.000, 0.000, 0.013)
C (0.333, 0.667, 0.051)

## Properties
**Energy of formation**: 30.5 kJ per mole of atoms
**Calculated volume**: 6.33 A^3/atom
**Space-group type**: P3m1, No. 156
**ΔE to the lowest computed polymorph**: 76.6 meV per atom

---

[9]
Density functional theory data (GGA-PBE) for a relaxed ZrHgBi crystal.

abc: 3.681 3.681 6.071
angles: 107.65 107.65 90.00
Sites, in units of the cell vectors:
Bi (0.332, 0.332, 0.664)
Zr (0.658, 0.658, 0.317)
Hg (0.010, 0.010, 0.020)

## Properties
**Energy of formation**: -0.8 kJ per mole of atoms
**Calculated volume**: 24.77 A^3/atom
**Space-group type**: I4mm, No. 107
**ΔE to the lowest computed polymorph**: 227.4 meV per atom

---

[10]
Density functional theory data (GGA-PBE) for a relaxed CaBi3S crystal.

abc: 5.461 5.461 5.461
angles: 90.00 90.00 90.00
Sites, in units of the cell vectors:
S (0.000, 0.000, 0.000)
Ca (0.500, 0.500, 0.500)
Bi (0.000, 0.500, 0.000)
Bi (0.000, 0.000, 0.500)
Bi (0.500, 0.000, 0.000)

## Properties
**Formation energy (no corrections)**: -0.044 eV per atom
**Calculated volume**: 32.57 A^3/atom
**Space-group type**: Pm-3m, No. 221
**ΔE to the lowest computed polymorph**: 0.0 meV per atom

---

[11]
Density functional theory data (GGA-PBE) for a relaxed Tm4GePb2 crystal.

abc: 3.969 13.070 15.157
angles: 90.00 90.00 90.00
Sites, in units of the cell vectors:
Pb (0.250, 0.446, 0.080)
Pb (0.750, 0.054, 0.580)
Pb (0.250, 0.946, 0.420)
Pb (0.750, 0.554, 0.920)
Pb (0.750, 0.622, 0.409)
Pb (0.250, 0.378, 0.591)
Pb (0.750, 0.122, 0.091)
Pb (0.250, 0.878, 0.909)
Ge (0.750, 0.274, 0.344)
Ge (0.250, 0.726, 0.656)
Ge (0.750, 0.774, 0.156)
Ge (0.250, 0.226, 0.844)
Tm (0.250, 0.937, 0.112)
Tm (0.750, 0.063, 0.888)
Tm (0.250, 0.437, 0.388)
Tm (0.750, 0.563, 0.612)
Tm (0.250, 0.948, 0.711)
Tm (0.750, 0.052, 0.289)
Tm (0.250, 0.448, 0.789)
Tm (0.750, 0.552, 0.211)
Tm (0.250, 0.691, 0.037)
Tm (0.750, 0.309, 0.963)
Tm (0.250, 0.191, 0.463)
Tm (0.750, 0.809, 0.537)
Tm (0.750, 0.741, 0.793)
Tm (0.250, 0.259, 0.207)
Tm (0.250, 0.759, 0.293)
Tm (0.750, 0.241, 0.707)

## Properties
**Energy of formation**: -46.3 kJ per mole of atoms
**Calculated volume**: 28.08 A^3/atom
**Space-group type**: Pnma, No. 62
**ΔE to the lowest computed polymorph**: 0.0 meV per atom

---

[12]
Density functional theory data (GGA-PBE) for a relaxed CeSc2Co crystal.

abc: 3.392 3.392 9.236
angles: 79.42 79.42 60.00
Each line ends with the local moment (μB).
Sites, in units of the cell vectors:
Sc (0.275, 0.275, 0.174)  0.04
Sc (0.725, 0.725, 0.826)  0.04
Co (0.000, 0.000, 0.000)  0.05
Ce (0.500, 0.500, 0.500)  0.82

## Properties
**Energy of formation**: 3.7 kJ per mole of atoms
**Calculated volume**: 22.48 A^3/atom
**Space-group type**: R-3m, No. 166
**ΔE to the lowest computed polymorph**: 217.0 meV per atom

---

[13]
Density functional theory data (GGA-PBE) for a relaxed ScZnNiSn crystal.

abc: 4.565 4.565 4.565
angles: 60.00 60.00 60.00
Sites, in units of the cell vectors:
Sc (0.750, 0.750, 0.750)
Ni (0.500, 0.500, 0.500)
Zn (0.000, 0.000, 0.000)
Sn (0.250, 0.250, 0.250)

## Properties
**Energy of formation**: -34.2 kJ per mole of atoms
**Calculated volume**: 16.82 A^3/atom
**Space-group type**: F-43m, No. 216

---

[14]
Density functional theory data (GGA-PBE) for a relaxed CaLaGe crystal.

abc: 4.577 8.137 8.137
angles: 120.00 90.00 90.00
Each line ends with the local moment (μB).
Sites, in units of the cell vectors:
Ca (0.000, 0.741, 0.741)  0.09
Ca (0.000, 0.000, 0.259)  0.09
Ca (0.000, 0.259, 0.000)  0.09
La (0.500, 0.401, 0.401)  0.27
La (0.500, 0.000, 0.599)  0.27
La (0.500, 0.599, 0.000)  0.27
Ge (0.000, 0.333, 0.667)  -0.03
Ge (0.000, 0.667, 0.333)  -0.03
Ge (0.500, 0.000, 0.000)  -0.05

## Properties
**Energy of formation**: -57.4 kJ per mole of atoms
**Calculated volume**: 29.16 A^3/atom
**Space-group type**: P-62m, No. 189

---

[15]
Density functional theory data (GGA-PBE) for a relaxed K2In4PbAu3 crystal.

abc: 5.037 5.037 11.304
angles: 90.00 90.00 90.00
Sites, in units of the cell vectors:
K (0.500, 0.000, 0.251)
K (0.000, 0.500, 0.749)
In (0.500, 0.500, 0.000)
In (0.000, 0.000, 0.000)
In (0.500, 0.000, 0.642)
In (0.000, 0.500, 0.358)
Pb (0.500, 0.500, 0.500)
Au (0.000, 0.000, 0.500)
Au (0.500, 0.000, 0.885)
Au (0.000, 0.500, 0.115)

## Properties
**Energy of formation**: -23.6 kJ per mole of atoms
**Calculated volume**: 28.68 A^3/atom
**Space-group type**: P-4m2, No. 115

---

[16]
Density functional theory data (GGA-PBE) for a relaxed Tc3TeO12 crystal.

abc: 9.030 9.030 10.866
angles: 65.45 65.45 60.00
Each line ends with the local moment (μB).
Sites, in units of the cell vectors:
Tc (0.692, 0.330, 0.005)  0.15
Tc (0.192, 0.473, 0.505)  0.15
Tc (0.830, 0.192, 0.505)  0.15
Tc (0.330, 0.973, 0.005)  0.15
Tc (0.973, 0.692, 0.005)  0.15
Tc (0.473, 0.830, 0.505)  0.15
Te (0.085, 0.085, 0.744)  0.05
Te (0.585, 0.585, 0.244)  0.05
O (0.119, 0.089, 0.091)  0.03
O (0.211, 0.248, 0.619)  0.00
O (0.961, 0.000, 0.454)  0.02
O (0.875, 0.320, 0.853)  0.01
O (0.375, 0.452, 0.353)  0.01
O (0.461, 0.084, 0.954)  0.02
O (0.711, 0.422, 0.119)  0.00
O (0.000, 0.584, 0.454)  0.02
O (0.619, 0.201, 0.591)  0.03
O (0.922, 0.211, 0.619)  0.00
O (0.820, 0.375, 0.353)  0.01
O (0.201, 0.589, 0.591)  0.03
O (0.084, 0.500, 0.954)  0.02
O (0.701, 0.119, 0.091)  0.03
O (0.320, 0.952, 0.853)  0.01
O (0.422, 0.748, 0.119)  0.00
O (0.748, 0.711, 0.119)  0.00
O (0.500, 0.461, 0.954)  0.02
O (0.589, 0.619, 0.591)  0.03
O (0.952, 0.875, 0.853)  0.01
O (0.452, 0.820, 0.353)  0.01
O (0.089, 0.701, 0.091)  0.03
O (0.248, 0.922, 0.619)  0.00
O (0.584, 0.961, 0.454)  0.02

## Properties
**Formation energy (no corrections)**: -1.181 eV per atom
**Calculated volume**: 21.04 A^3/atom
**Space-group type**: R3c, No. 161

---

[17]
Density functional theory data (GGA-PBE) for a relaxed LaHoPt crystal.

abc: 4.179 4.179 6.338
angles: 90.00 90.00 120.00
Sites, in units of the cell vectors:
Ho (0.333, 0.667, 0.570)
Pt (0.667, 0.333, 0.347)
La (0.000, 0.000, 0.082)

## Properties
**Energy of formation**: -73.2 kJ per mole of atoms
**Calculated volume**: 31.95 A^3/atom
**Space-group type**: P3m1, No. 156
**ΔE to the lowest computed polymorph**: 158.1 meV per atom

---

[18]
Density functional theory data (GGA-PBE) for a relaxed Mg2TcCl crystal.

abc: 7.230 7.230 6.036
angles: 53.21 53.21 90.00
Each line ends with the local moment (μB).
Sites, in units of the cell vectors:
Mg (0.599, 0.125, 0.250)  -0.01
Mg (0.151, 0.625, 0.250)  -0.01
Mg (0.375, 0.401, 0.750)  -0.01
Mg (0.875, 0.849, 0.750)  -0.01
Tc (0.000, 0.000, 0.000)  2.46
Tc (0.750, 0.250, 0.500)  2.46
Cl (0.500, 0.500, 0.000)  0.06
Cl (0.250, 0.750, 0.500)  0.06

## Properties
**Formation energy (no corrections)**: 0.361 eV per atom
**Calculated volume**: 20.97 A^3/atom
**Space-group type**: I-42d, No. 122
**ΔE to the lowest computed polymorph**: 623.4 meV per atom

---

[19]
Density functional theory data (GGA-PBE) for a relaxed AcDy7Ho3 crystal.

abc: 8.954 9.831 5.588
angles: 90.00 128.60 104.30
Sites, in units of the cell vectors:
Ac (0.500, 0.500, 0.500)
Dy (0.935, 0.833, 0.935)
Dy (0.833, 0.645, 0.333)
Dy (0.647, 0.289, 0.147)
Dy (0.353, 0.711, 0.853)
Dy (0.500, 0.000, 0.500)
Dy (0.167, 0.355, 0.667)
Dy (0.065, 0.167, 0.065)
Ho (0.225, 0.007, 0.726)
Ho (0.000, 0.500, 0.000)
Ho (0.775, 0.993, 0.274)

## Properties
**Energy of formation**: 14.2 kJ per mole of atoms
**Calculated volume**: 33.16 A^3/atom
**Space-group type**: P2/m, No. 10
**ΔE to the lowest computed polymorph**: 0.0 meV per atom

---

[20]
Density functional theory data (GGA-PBE) for a relaxed ScCoNiGe2 crystal.

abc: 3.885 3.885 5.723
angles: 109.84 109.84 90.00
Each line ends with the local moment (μB).
Sites, in units of the cell vectors:
Sc (0.000, 0.000, 0.000)  0.07
Co (0.250, 0.750, 0.500)  0.69
Ni (0.750, 0.250, 0.500)  0.22
Ge (0.622, 0.622, 0.244)  0.00
Ge (0.378, 0.378, 0.756)  0.00

## Properties
**Energy of formation**: -52.2 kJ per mole of atoms
**Calculated volume**: 15.16 A^3/atom
**Space-group type**: I-4m2, No. 119

---

[21]
Density functional theory data (GGA-PBE) for a relaxed LaTiFeNi2 crystal.

abc: 4.535 4.598 4.535
angles: 90.00 90.00 90.00
Each line ends with the local moment (μB).
Sites, in units of the cell vectors:
Ni (0.000, 0.000, 0.500)  -0.04
Ni (0.500, 0.000, 0.000)  -0.04
Ti (0.500, 0.500, 0.500)  1.41
Fe (0.000, 0.000, 0.000)  0.01
La (0.000, 0.500, 0.000)  0.14

## Properties
**Energy of formation**: 75.6 kJ per mole of atoms
**Calculated volume**: 18.91 A^3/atom
**Space-group type**: P4/mmm, No. 123

---

[22]
Density functional theory data (GGA-PBE) for a relaxed Cs4Rb2SnSb2 crystal.

abc: 5.919 9.986 9.986
angles: 66.54 72.78 72.78
Each line ends with the local moment (μB).
Sites, in units of the cell vectors:
Cs (0.131, 0.670, 0.068)  0.01
Cs (0.869, 0.932, 0.330)  0.01
Cs (0.869, 0.330, 0.932)  0.01
Cs (0.131, 0.068, 0.670)  0.01
Rb (0.355, 0.645, 0.645)  0.00
Rb (0.645, 0.355, 0.355)  0.00
Sn (0.500, 0.000, 0.000)  0.34
Sb (0.291, 0.209, 0.209)  0.07
Sb (0.709, 0.791, 0.791)  0.07

## Properties
**Formation energy (no corrections)**: -0.195 eV per atom
**Calculated volume**: 56.26 A^3/atom
**Space-group type**: Immm, No. 71